(1)
The following is a DFT calculation (PBE) of K2ZnN4 after structural relaxation.

excess energy over the best structure of this formula in the dataset	0.00	kJ/mol of atoms
formation energy (no corrections)	1.541	eV/atom

Cell: 7.636 7.636 7.636 Å, 147.92 147.92 46.01°
Fractional coordinates of all 7 atoms:
1 K 0.146 0.146 0.000
2 K 0.854 0.854 0.000
3 Zn 0.500 0.500 0.000
4 N 0.000 0.500 0.500
5 N 0.356 0.356 0.000
6 N 0.500 0.000 0.500
7 N 0.644 0.644 0.000

***

(2)
The following is a DFT calculation (PBE) of Os3PdSe after structural relaxation.

excess energy over the best structure of this formula in the dataset	0.00	kJ/mol of atoms
formation energy (no corrections)	1.820	eV/atom

Cell: 4.509 4.509 4.509 Å, 90.00 90.00 90.00°
Fractional coordinates of all 5 atoms:
1 Os 0.000 0.000 0.500
2 Os 0.000 0.500 0.000
3 Os 0.500 0.000 0.000
4 Pd 0.500 0.500 0.500
5 Se 0.000 0.000 0.000

***

(3)
The following is a DFT calculation (PBE) of Cs2K4F after structural relaxation.

formation energy (no corrections)	-0.694	eV/atom

Cell: 14.267 14.267 14.267 Å, 156.23 156.23 33.86°
Fractional coordinates of all 7 atoms:
1 Cs 0.188 0.188 0.000
2 Cs 0.812 0.812 0.000
3 K 0.000 0.500 0.500
4 K 0.401 0.401 0.000
5 K 0.500 0.000 0.500
6 K 0.599 0.599 0.000
7 F 0.500 0.500 0.000

***

(4)
The following is a DFT calculation (PBE) of CaTbBi2 after structural relaxation.

excess energy over the best structure of this formula in the dataset	0.00	kJ/mol of atoms
energy of formation from the pure elements	-17.14	kcal/mol of atoms

Cell: 4.420 4.420 8.289 Å, 105.53 105.53 60.15°
Fractional coordinates of all 4 atoms:
1 Ca 0.000 0.000 0.000
2 Tb 0.500 0.500 0.500
3 Bi 0.247 0.247 0.741
4 Bi 0.753 0.753 0.259

***

(5)
The following is a DFT calculation (PBE) of LiPr3Co after structural relaxation.

excess energy over the best structure of this formula in the dataset	0.00	kJ/mol of atoms
energy of formation from the pure elements	0.95	kcal/mol of atoms

Cell: 7.839 3.872 10.382 Å, 90.00 109.47 90.00°
Fractional coordinates of all 10 atoms:
1 Li 0.142 0.250 0.109
2 Li 0.858 0.750 0.891
3 Pr 0.056 0.750 0.364
4 Pr 0.302 0.750 0.913
5 Pr 0.468 0.250 0.665
6 Pr 0.532 0.750 0.335
7 Pr 0.698 0.250 0.087
8 Pr 0.944 0.250 0.636
9 Co 0.209 0.750 0.645
10 Co 0.791 0.250 0.355

***

(6)
The following is a DFT calculation (PBE) of Tm3Hf after structural relaxation.

excess energy over the best structure of this formula in the dataset	3.97	kJ/mol of atoms
energy of formation from the pure elements	2.79	kcal/mol of atoms

Cell: 5.852 5.852 5.852 Å, 131.68 131.68 70.73°
Fractional coordinates of all 4 atoms:
1 Tm 0.000 0.000 0.000
2 Tm 0.250 0.750 0.500
3 Tm 0.750 0.250 0.500
4 Hf 0.500 0.500 0.000